A relaxed structure of CrNi5, computed with PBE.

```
data_CrNi5
_cell_length_a 4.065
_cell_length_b 2.481
_cell_length_c 13.013
_cell_angle_alpha 90.00
_cell_angle_beta 90.00
_cell_angle_gamma 90.00
_symmetry_space_group_name_H-M 'A m m 2'
_symmetry_Int_Tables_number 38
loop_
_symmetry_equiv_pos_as_xyz
'x,y,z'
'-x,-y,z'
'-x,y,z'
'x,-y,z'
'x,y+1/2,z+1/2'
'-x,-y+1/2,z+1/2'
'-x,y+1/2,z+1/2'
'x,-y+1/2,z+1/2'
loop_
_atom_site_label
_atom_site_fract_x
_atom_site_fract_y
_atom_site_fract_z
Cr1 0.000 0.000 0.000
Ni1 0.000 0.000 0.333
Ni2 0.000 0.000 0.665
Ni3 0.500 0.000 0.107
Ni4 0.500 0.000 0.440
Ni5 0.500 0.000 0.775
```

ΔH_f (0 K) = 28 meV per atom


A relaxed structure of MgNpZn, computed with PBE.

```
data_MgNpZn
_cell_length_a 2.964
_cell_length_b 16.416
_cell_length_c 4.748
_cell_angle_alpha 90.00
_cell_angle_beta 90.00
_cell_angle_gamma 90.00
_symmetry_space_group_name_H-M 'C m c m'
_symmetry_Int_Tables_number 63
_symmetry_space_group_name_Hall '-C 2c 2'
loop_
_atom_site_label
_atom_site_fract_x
_atom_site_fract_y
_atom_site_fract_z
Mg1 0.000 0.065 0.250
Np1 0.000 0.253 0.750
Zn1 0.000 0.407 0.250
```

ΔH_f (0 K) = 80 meV per atom


A relaxed structure of K2TlAu2, computed with PBE.

```
data_K2TlAu2
_cell_length_a 7.930
_cell_length_b 7.930
_cell_length_c 4.960
_cell_angle_alpha 90.00
_cell_angle_beta 90.00
_cell_angle_gamma 90.00
_symmetry_space_group_name_H-M 'P 4/m b m'
_symmetry_Int_Tables_number 127
_symmetry_space_group_name_Hall '-P 4 2ab'
loop_
_atom_site_label
_atom_site_fract_x
_atom_site_fract_y
_atom_site_fract_z
K1 0.169 0.331 0.000
Tl1 0.000 0.000 0.500
Au1 0.129 0.629 0.500
```

ΔH_f (0 K) = -244 meV per atom
Distance to the lowest polymorph of the same formula = 0.19 eV per formula unit


A relaxed structure of Fe3P4, computed with PBE.

```
data_Fe3P4
_cell_length_a 5.0061
_cell_length_b 5.0061
_cell_length_c 4.1806
_cell_angle_alpha 90.00
_cell_angle_beta 90.00
_cell_angle_gamma 120.00
_symmetry_space_group_name_H-M 'P 6/m m m'
_symmetry_Int_Tables_number 191
_symmetry_space_group_name_Hall '-P 6 2'
loop_
_atom_site_label
_atom_site_fract_x
_atom_site_fract_y
_atom_site_fract_z
Fe1 0.0000 0.5000 0.0000
P1 0.0000 0.0000 0.2510
P2 0.3333 0.6667 0.5000
```

ΔH_f (0 K) = 374 meV per atom
Distance to the lowest polymorph of the same formula = 3.35 eV per formula unit


A relaxed structure of Sr2PdN2, computed with PBE.

```
data_Sr2PdN2
_cell_length_a 7.564
_cell_length_b 7.564
_cell_length_c 3.209
_cell_angle_alpha 90.00
_cell_angle_beta 90.00
_cell_angle_gamma 90.00
_symmetry_space_group_name_H-M 'P 4/m b m'
_symmetry_Int_Tables_number 127
_symmetry_space_group_name_Hall '-P 4 2ab'
loop_
_atom_site_label
_atom_site_fract_x
_atom_site_fract_y
_atom_site_fract_z
Sr1 0.147 0.353 0.000
Pd1 0.000 0.000 0.000
N1 0.160 0.660 0.500
```

Formation energy (no corrections) = 0.440 eV per atom


A relaxed structure of ScFe2Rh, computed with PBE.

```
data_ScFe2Rh
_cell_length_a 2.9026
_cell_length_b 2.9026
_cell_length_c 24.3210
_cell_angle_alpha 90.00
_cell_angle_beta 90.00
_cell_angle_gamma 120.00
_symmetry_space_group_name_H-M 'R 3 m'
_symmetry_Int_Tables_number 160
_symmetry_space_group_name_Hall 'R 3 -2"'
loop_
_atom_site_label
_atom_site_fract_x
_atom_site_fract_y
_atom_site_fract_z
Sc1 0.0000 0.0000 0.0000
Fe1 0.0000 0.0000 0.4950
Fe2 0.0000 0.0000 0.7556
Rh1 0.0000 0.0000 0.2454
```

ΔH_f (0 K) = 65 meV per atom


A relaxed structure of CoAsPb2, computed with PBE.

```
data_CoAsPb2
_cell_length_a 5.198
_cell_length_b 3.487
_cell_length_c 5.729
_cell_angle_alpha 90.00
_cell_angle_beta 116.91
_cell_angle_gamma 90.00
_symmetry_space_group_name_H-M 'P 1 m 1'
_symmetry_Int_Tables_number 6
loop_
_symmetry_equiv_pos_as_xyz
'x,y,z'
'x,-y,z'
loop_
_atom_site_label
_atom_site_fract_x
_atom_site_fract_y
_atom_site_fract_z
Co1 0.000 0.000 0.000
As1 0.852 0.500 0.705
Pb1 0.209 0.500 0.420
Pb2 0.522 0.000 0.043
```

ΔH_f (0 K) = 118 meV per atom


A relaxed structure of Pr2PuO, computed with PBE.

```
data_Pr2PuO
_cell_length_a 3.221
_cell_length_b 3.221
_cell_length_c 8.961
_cell_angle_alpha 90.00
_cell_angle_beta 90.00
_cell_angle_gamma 90.00
_symmetry_space_group_name_H-M 'P 4/m m m'
_symmetry_Int_Tables_number 123
_symmetry_space_group_name_Hall '-P 4 2'
loop_
_atom_site_label
_atom_site_fract_x
_atom_site_fract_y
_atom_site_fract_z
Pr1 0.000 0.000 0.178
Pu1 0.500 0.500 0.500
O1 0.500 0.500 0.000
```

Formation energy (no corrections) = -0.732 eV per atom
Distance to the lowest polymorph of the same formula = 1.02 eV per formula unit